No. 1
# La3Pr4Mg

A relaxed La3Pr4Mg crystal (PBE, the Alexandria database).

a = 3.763 Å, b = 3.763 Å, c = 19.807 Å
α = 90.00°, β = 90.00°, γ = 90.00°
Positions (direct):
La 0.500 0.500 0.764
Pr 0.000 0.000 0.631
Pr 0.000 0.000 0.108
La 0.500 0.500 0.236
Pr 0.000 0.000 0.892
Pr 0.000 0.000 0.369
Mg 0.500 0.500 0.000
La 0.500 0.500 0.500

Properties
Space group = P4/mmm (123)
Distance to the lowest polymorph of the same formula = 0.000 eV per atom
Crystal system = tetragonal
D(E_F) = 11.55 states/eV per cell
Energy relative to the elements = -17 meV per atom
Size of the total moment = 0.00 μB/f.u.

=====

No. 2
# La2Pr2Mg

A relaxed La2Pr2Mg crystal (PBE, the Alexandria database).

a = 4.563 Å, b = 4.563 Å, c = 9.662 Å
α = 103.66°, β = 103.66°, γ = 90.00°
Positions (direct):
La 0.589 0.589 0.177
Pr 0.750 0.250 0.500
La 0.411 0.411 0.823
Pr 0.250 0.750 0.500
Mg 0.000 0.000 0.000

Properties
Space group = I4/mmm (139)
Distance to the lowest polymorph of the same formula = 0.379 eV per atom
Crystal system = tetragonal
D(E_F) = 8.30 states/eV per cell
Energy relative to the elements = 349 meV per atom
Size of the total moment = 0.00 μB/f.u.

=====

No. 3
# LaPr6Mg2

A relaxed LaPr6Mg2 crystal (PBE, the Alexandria database).

a = 3.920 Å, b = 6.875 Å, c = 12.281 Å
α = 75.07°, β = 80.82°, γ = 73.44°
Positions (direct):
La 0.000 0.000 0.000
Pr 0.320 0.484 0.877
Pr 0.981 0.700 0.338
Mg 0.653 0.904 0.789
Mg 0.347 0.096 0.211
Pr 0.680 0.516 0.123
Pr 0.019 0.300 0.662
Pr 0.685 0.214 0.415
Pr 0.315 0.786 0.585

Properties
Space group = C2/m (12)
Distance to the lowest polymorph of the same formula = 0.000 eV per atom
Crystal system = monoclinic
D(E_F) = 10.13 states/eV per cell
Energy relative to the elements = -32 meV per atom
Size of the total moment = 0.00 μB/f.u.

=====

No. 4
# La8PrMg2

A relaxed La8PrMg2 crystal (PBE, the Alexandria database).

a = 5.383 Å, b = 8.523 Å, c = 9.334 Å
α = 110.00°, β = 106.76°, γ = 90.00°
Positions (direct):
La 0.049 0.734 0.098
Mg 0.225 0.630 0.450
La 0.403 0.537 0.806
La 0.597 0.463 0.194
La 0.855 0.803 0.711
La 0.145 0.197 0.289
La 0.313 0.053 0.627
Mg 0.775 0.370 0.550
La 0.951 0.266 0.902
Pr 0.500 0.000 0.000
La 0.687 0.947 0.373

Properties
Space group = C2/m (12)
Distance to the lowest polymorph of the same formula = 0.000 eV per atom
Crystal system = monoclinic
D(E_F) = 17.49 states/eV per cell
Energy relative to the elements = -3 meV per atom
Size of the total moment = 0.00 μB/f.u.

=====

No. 5
# La12Pr7Mg

A relaxed La12Pr7Mg crystal (PBE, the Alexandria database).

a = 6.406 Å, b = 11.683 Å, c = 11.683 Å
α = 116.74°, β = 100.53°, γ = 100.53°
Positions (direct):
La 0.429 0.356 0.000
La 0.092 0.593 0.185
La 0.500 0.407 0.593
La 0.908 0.407 0.815
Pr 0.638 0.752 0.752
Mg 0.000 0.000 0.000
Pr 0.500 0.000 0.000
La 0.571 0.000 0.644
La 0.907 0.815 0.407
Pr 0.362 0.248 0.248
Pr 0.113 0.752 0.000
Pr 0.887 0.000 0.248
La 0.093 0.185 0.593
La 0.073 0.644 0.644
La 0.927 0.356 0.356
Pr 0.113 0.000 0.752
Pr 0.887 0.248 0.000
La 0.500 0.593 0.407
La 0.429 0.000 0.356
La 0.571 0.644 0.000

Properties
Space group = R-3m (166)
Distance to the lowest polymorph of the same formula = 0.000 eV per atom
Crystal system = trigonal
D(E_F) = 25.40 states/eV per cell
Energy relative to the elements = 141 meV per atom
Size of the total moment = 0.00 μB/f.u.

=====

No. 6
# La15Pr4Mg

A relaxed La15Pr4Mg crystal (PBE, the Alexandria database).

a = 6.147 Å, b = 6.147 Å, c = 19.046 Å
α = 90.00°, β = 90.00°, γ = 90.00°
Positions (direct):
La 0.500 0.500 0.792
La 0.500 0.000 0.500
La 0.000 0.500 0.302
La 0.000 0.500 0.906
La 0.000 0.500 0.094
La 0.500 0.000 0.698
La 0.500 0.500 0.408
La 0.500 0.000 0.906
La 0.000 0.500 0.500
Pr 0.000 0.000 0.383
La 0.500 0.500 0.208
Pr 0.000 0.000 0.807
Pr 0.000 0.000 0.193
La 0.500 0.000 0.302
La 0.500 0.000 0.094
La 0.500 0.500 0.592
La 0.000 0.500 0.698
La 0.500 0.500 0.000
Pr 0.000 0.000 0.617
Mg 0.000 0.000 0.000

Properties
Space group = P4/mmm (123)
Crystal system = tetragonal
D(E_F) = 35.79 states/eV per cell
Energy relative to the elements = 76 meV per atom
Size of the total moment = 0.00 μB/f.u.

=====

No. 7
# La2Pr6Mg

A relaxed La2Pr6Mg crystal (PBE, the Alexandria database).

a = 6.582 Å, b = 12.616 Å, c = 12.616 Å
α = 117.41°, β = 67.54°, γ = 67.54°
Positions (direct):
Pr 0.135 0.367 0.289
Pr 0.623 0.595 0.997
Pr 0.924 0.132 0.981
Mg 0.250 0.216 0.784
Pr 0.635 0.289 0.367
Pr 0.424 0.981 0.132
La 0.141 0.231 0.526
Mg 0.750 0.784 0.216
La 0.359 0.474 0.769
Pr 0.865 0.633 0.711
Pr 0.365 0.711 0.633
La 0.859 0.769 0.474
Pr 0.123 0.997 0.595
Pr 0.377 0.405 0.003
Pr 0.576 0.019 0.868
Pr 0.076 0.868 0.019
Pr 0.877 0.003 0.405
La 0.641 0.526 0.231

Properties
Space group = C2/c (15)
Distance to the lowest polymorph of the same formula = 0.005 eV per atom
Crystal system = monoclinic
D(E_F) = 25.09 states/eV per cell
Energy relative to the elements = 68 meV per atom
Size of the total moment = 0.00 μB/f.u.

=====

No. 8
# La2Pr15Mg2

A relaxed La2Pr15Mg2 crystal (PBE, the Alexandria database).

a = 8.954 Å, b = 8.954 Å, c = 8.954 Å
α = 80.57°, β = 80.57°, γ = 80.57°
Positions (direct):
Pr 0.000 0.705 0.295
Pr 0.000 0.295 0.705
La 0.318 0.318 0.318
Pr 0.705 0.295 0.000
Pr 0.364 0.844 0.364
Pr 0.000 0.500 0.000
Pr 0.844 0.364 0.364
Pr 0.500 0.000 0.000
Pr 0.705 0.000 0.295
Pr 0.636 0.636 0.156
Pr 0.636 0.156 0.636
Mg 0.093 0.093 0.093
Pr 0.295 0.000 0.705
Mg 0.907 0.907 0.907
Pr 0.156 0.636 0.636
La 0.682 0.682 0.682
Pr 0.000 0.000 0.500
Pr 0.364 0.364 0.844
Pr 0.295 0.705 0.000

Properties
Space group = R-3m (166)
Crystal system = trigonal
D(E_F) = 26.79 states/eV per cell
Energy relative to the elements = 184 meV per atom
Size of the total moment = 0.00 μB/f.u.

=====

No. 9
# La6Pr12Mg

A relaxed La6Pr12Mg crystal (PBE, the Alexandria database).

a = 9.003 Å, b = 9.003 Å, c = 9.003 Å
α = 98.14°, β = 98.14°, γ = 98.14°
Positions (direct):
La 0.864 0.863 0.591
La 0.136 0.137 0.409
Mg 0.000 0.000 0.000
Pr 0.829 0.416 0.415
Pr 0.261 0.001 0.739
La 0.863 0.591 0.864
Pr 0.416 0.415 0.829
Pr 0.739 0.999 0.261
Pr 0.171 0.584 0.585
Pr 0.584 0.585 0.171
Pr 0.739 0.261 0.001
Pr 0.999 0.261 0.739
La 0.409 0.136 0.137
Pr 0.415 0.829 0.416
La 0.137 0.409 0.136
La 0.591 0.864 0.863
Pr 0.261 0.739 0.999
Pr 0.585 0.171 0.584
Pr 0.001 0.739 0.261

Properties
Space group = R-3 (148)
Distance to the lowest polymorph of the same formula = 0.017 eV per atom
Crystal system = trigonal
D(E_F) = 30.48 states/eV per cell
Energy relative to the elements = 107 meV per atom
Size of the total moment = 0.00 μB/f.u.

=====

No. 10
# La3Pr2Mg3

A relaxed La3Pr2Mg3 crystal (PBE, the Alexandria database).

a = 3.946 Å, b = 5.693 Å, c = 12.123 Å
α = 103.58°, β = 99.37°, γ = 90.00°
Positions (direct):
La 0.377 0.377 0.754
Pr 0.265 0.765 0.530
Mg 0.882 0.882 0.764
Mg 0.118 0.118 0.236
La 0.500 0.000 0.000
Mg 0.000 0.500 0.000
Pr 0.735 0.235 0.470
La 0.623 0.623 0.246

Properties
Space group = Immm (71)
Crystal system = orthorhombic
D(E_F) = 9.95 states/eV per cell
Energy relative to the elements = -77 meV per atom
Size of the total moment = 0.00 μB/f.u.

=====

No. 11
# La3Pr8Mg

A relaxed La3Pr8Mg crystal (PBE, the Alexandria database).

a = 8.553 Å, b = 8.553 Å, c = 8.553 Å
α = 94.13°, β = 117.65°, γ = 117.65°
Positions (direct):
Pr 0.494 0.244 0.244
La 0.500 0.750 0.250
Pr 0.000 0.627 0.877
Pr 0.000 0.877 0.627
Pr 0.506 0.750 0.750
Mg 0.000 0.000 0.000
Pr 0.000 0.250 0.756
Pr 0.250 0.373 0.373
La 0.500 0.250 0.750
Pr 0.000 0.756 0.250
Pr 0.750 0.123 0.123
La 0.000 0.500 0.500

Properties
Space group = I-42m (121)
Crystal system = tetragonal
D(E_F) = 17.57 states/eV per cell
Energy relative to the elements = 454 meV per atom
Size of the total moment = 0.00 μB/f.u.

=====

No. 12
# LaPr4Mg3

A relaxed LaPr4Mg3 crystal (PBE, the Alexandria database).

a = 3.868 Å, b = 3.868 Å, c = 17.006 Å
α = 90.00°, β = 90.00°, γ = 90.00°
Positions (direct):
Pr 0.000 0.000 0.150
Pr 0.000 0.000 0.615
Mg 0.500 0.500 0.733
Mg 0.500 0.500 0.267
Pr 0.000 0.000 0.850
La 0.500 0.500 0.000
Mg 0.500 0.500 0.500
Pr 0.000 0.000 0.385

Properties
Space group = P4/mmm (123)
Crystal system = tetragonal
D(E_F) = 9.62 states/eV per cell
Energy relative to the elements = -77 meV per atom
Size of the total moment = 0.00 μB/f.u.

=====

No. 13
# La5Pr4Mg

A relaxed La5Pr4Mg crystal (PBE, the Alexandria database).

a = 3.759 Å, b = 3.759 Å, c = 25.238 Å
α = 90.00°, β = 90.00°, γ = 90.00°
Positions (direct):
Mg 0.000 0.000 0.000
La 0.500 0.500 0.500
Pr 0.000 0.000 0.190
Pr 0.000 0.000 0.603
La 0.500 0.500 0.707
La 0.500 0.500 0.913
Pr 0.000 0.000 0.397
La 0.500 0.500 0.087
La 0.500 0.500 0.293
Pr 0.000 0.000 0.810

Properties
Space group = P4/mmm (123)
Crystal system = tetragonal
D(E_F) = 14.27 states/eV per cell
Energy relative to the elements = -12 meV per atom
Size of the total moment = 0.00 μB/f.u.

=====

No. 14
# La2Pr5Mg

A relaxed La2Pr5Mg crystal (PBE, the Alexandria database).

a = 7.314 Å, b = 7.314 Å, c = 7.313 Å
α = 89.92°, β = 120.07°, γ = 120.02°
Positions (direct):
Mg 0.778 0.778 0.000
Pr 0.277 0.278 0.501
Pr 0.778 0.777 0.500
La 0.279 0.779 0.499
La 0.778 0.278 0.500
Pr 0.277 0.276 0.000
Pr 0.278 0.777 0.000
Pr 0.778 0.278 0.000

Properties
Space group = Imm2 (44)
Crystal system = orthorhombic
D(E_F) = 7.58 states/eV per cell
Energy relative to the elements = -13 meV per atom
Size of the total moment = 0.00 μB/f.u.

=====

No. 15
# La6PrMg2

A relaxed La6PrMg2 crystal (PBE, the Alexandria database).

a = 5.041 Å, b = 5.041 Å, c = 12.468 Å
α = 90.00°, β = 90.00°, γ = 90.00°
Positions (direct):
Mg 0.500 0.500 0.891
La 0.000 0.500 0.287
La 0.500 0.500 0.500
Mg 0.500 0.500 0.109
La 0.500 0.000 0.713
La 0.500 0.000 0.287
La 0.000 0.500 0.713
Pr 0.000 0.000 0.000
La 0.000 0.000 0.500

Properties
Space group = P4/mmm (123)
Distance to the lowest polymorph of the same formula = 0.086 eV per atom
Crystal system = tetragonal
D(E_F) = 15.83 states/eV per cell
Energy relative to the elements = 117 meV per atom
Size of the total moment = 0.00 μB/f.u.

=====

No. 16
# La6PrMg2

A relaxed La6PrMg2 crystal (PBE, the Alexandria database).

a = 6.291 Å, b = 6.241 Å, c = 8.989 Å
α = 90.00°, β = 90.00°, γ = 120.27°
Positions (direct):
La 0.656 0.831 0.661
Pr 0.500 0.000 0.000
La 0.175 0.831 0.339
Mg 0.500 0.500 0.329
La 0.825 0.169 0.339
La 0.344 0.169 0.661
Mg 0.000 0.500 0.671
La 0.826 0.652 0.000
La 0.174 0.348 0.000

Properties
Space group = C222 (21)
Distance to the lowest polymorph of the same formula = 0.000 eV per atom
Crystal system = orthorhombic
D(E_F) = 13.27 states/eV per cell
Energy relative to the elements = 31 meV per atom
Size of the total moment = 0.00 μB/f.u.

=====

No. 17
# La7PrMg4

A relaxed La7PrMg4 crystal (PBE, the Alexandria database).

a = 5.975 Å, b = 9.433 Å, c = 8.435 Å
α = 67.78°, β = 69.26°, γ = 71.54°
Positions (direct):
La 0.801 0.885 0.514
La 0.083 0.573 0.262
Mg 0.537 0.307 0.618
Mg 0.325 0.348 0.002
Mg 0.463 0.693 0.382
Mg 0.675 0.652 0.998
La 0.199 0.115 0.486
La 0.500 0.000 0.000
Pr 0.000 0.000 0.000
La 0.748 0.282 0.223
La 0.252 0.718 0.777
La 0.917 0.427 0.738

Properties
Space group = C2/m (12)
Crystal system = monoclinic
D(E_F) = 14.06 states/eV per cell
Energy relative to the elements = 91 meV per atom
Size of the total moment = 0.36 μB/f.u.

=====

No. 18
# LaPr5Mg2

A relaxed LaPr5Mg2 crystal (PBE, the Alexandria database).

a = 7.008 Å, b = 7.008 Å, c = 7.008 Å
α = 107.24°, β = 107.24°, γ = 114.04°
Positions (direct):
Mg 0.278 0.778 0.500
Pr 0.778 0.778 0.500
Pr 0.277 0.277 0.000
Pr 0.778 0.278 0.000
Pr 0.278 0.278 0.500
Pr 0.278 0.778 0.000
La 0.779 0.779 0.000
Mg 0.778 0.278 0.500

Properties
Space group = I4mm (107)
Crystal system = tetragonal
D(E_F) = 10.56 states/eV per cell
Energy relative to the elements = 14 meV per atom
Size of the total moment = 0.00 μB/f.u.

=====

No. 19
# La3Pr3Mg

A relaxed La3Pr3Mg crystal (PBE, the Alexandria database).

a = 5.894 Å, b = 9.790 Å, c = 9.790 Å
α = 120.00°, β = 90.00°, γ = 90.00°
Positions (direct):
Pr 0.750 0.626 0.104
Pr 0.250 0.522 0.626
Pr 0.250 0.104 0.478
Pr 0.750 0.896 0.522
La 0.750 0.058 0.245
Pr 0.250 0.374 0.896
Pr 0.750 0.478 0.374
La 0.250 0.942 0.755
La 0.250 0.245 0.187
La 0.750 0.187 0.942
Mg 0.250 0.667 0.333
Mg 0.750 0.333 0.667
La 0.250 0.813 0.058
La 0.750 0.755 0.813

Properties
Space group = P6_3/m (176)
Distance to the lowest polymorph of the same formula = 0.009 eV per atom
Crystal system = hexagonal
D(E_F) = 22.97 states/eV per cell
Energy relative to the elements = 19 meV per atom
Size of the total moment = 0.00 μB/f.u.

=====

No. 20
# La2PrMg5

A relaxed La2PrMg5 crystal (PBE, the Alexandria database).

a = 5.321 Å, b = 5.321 Å, c = 8.921 Å
α = 107.35°, β = 107.35°, γ = 90.00°
Positions (direct):
Mg 0.885 0.385 0.770
Mg 0.615 0.115 0.230
Mg 0.500 0.500 0.000
La 0.262 0.262 0.524
Mg 0.385 0.885 0.770
Mg 0.115 0.615 0.230
Pr 0.000 0.000 0.000
La 0.738 0.738 0.476

Properties
Space group = I4/mmm (139)
Crystal system = tetragonal
D(E_F) = 8.01 states/eV per cell
Energy relative to the elements = -103 meV per atom
Size of the total moment = 0.00 μB/f.u.

=====

No. 21
# La2Pr7Mg

A relaxed La2Pr7Mg crystal (PBE, the Alexandria database).

a = 5.519 Å, b = 9.469 Å, c = 9.469 Å
α = 124.50°, β = 90.00°, γ = 90.00°
Positions (direct):
Pr 0.500 0.074 0.288
La 0.500 0.706 0.294
La 0.500 0.294 0.706
Pr 0.000 0.221 0.779
Pr 0.500 0.926 0.712
Pr 0.500 0.288 0.074
Mg 0.000 0.000 0.000
Pr 0.500 0.500 0.500
Pr 0.500 0.712 0.926
Pr 0.000 0.779 0.221

Properties
Space group = Cmmm (65)
Crystal system = orthorhombic
D(E_F) = 14.04 states/eV per cell
Energy relative to the elements = 534 meV per atom
Size of the total moment = 0.00 μB/f.u.